[1]
NdTm2Bi: optimized geometry, GGA-PBE.

Lattice parameters (Å, degrees): 4.8714 4.8938 4.8938 90.00 90.00 90.00
With the nearest neighbours (Å) after each atom.
Fractional positions:
Tm (0.0000, 0.0000, 0.5000)  4 Bi 3.45, 4 Nd 3.45, 4 Tm 3.46
Tm (0.0000, 0.5000, 0.0000)  4 Bi 3.45, 4 Nd 3.45, 4 Tm 3.46
Nd (0.5000, 0.5000, 0.5000)  8 Tm 3.45, 4 Bi 3.46
Bi (0.5000, 0.0000, 0.0000)  8 Tm 3.45, 4 Nd 3.46

Values from the calculation:
As for the formation energy: -0.333 eV per atom. The total magnetic moment is 0.00 μB/cell. The offset from the most stable computed form is 0.0502 eV per atom.

---

[2]
Nd2TmBi: optimized geometry, GGA-PBE.

Lattice parameters (Å, degrees): 3.5735 3.5735 12.5064 81.79 81.79 60.00
With the nearest neighbours (Å) after each atom.
Fractional positions:
Tm (0.5000, 0.5000, 0.5000)  6 Nd 3.57, 6 Tm 3.57
Nd (0.0881, 0.0881, 0.7358)  1 Bi 3.26, 3 Tm 3.57, 6 Nd 3.57
Nd (0.9119, 0.9119, 0.2642)  1 Bi 3.26, 3 Tm 3.57, 6 Nd 3.57
Bi (0.0000, 0.0000, 0.0000)  2 Nd 3.26, 6 Bi 3.57

Values from the calculation:
As for the formation energy: 0.005 eV per atom. The total magnetic moment is 0.00 μB/cell. The offset from the most stable computed form is 0.3969 eV per atom.